Compound: Tc3PI
Source: Alexandria via LeMat-Bulk
Functional: PBE-GGA
Structure: optimized geometry

Cell lengths 4.487, 4.487, 4.487 Å; angles 90.00, 90.00, 90.00 degrees
Positions (direct):
Tc1 0.000 0.000 0.500
Tc2 0.000 0.500 0.000
Tc3 0.500 0.000 0.000
P1 0.000 0.000 0.000
I1 0.500 0.500 0.500

D(E_F) ... 4.633 states/eV/f.u.
Formation energy (no corrections) ... 0.840 eV/atom
Excess energy over the best structure of this formula in the dataset ... 0 meV/atom
Volume ... 18.062 A^3/atom
SG ... Pm-3m
Spin magnetization ... 1.11 μB/cell

---

Compound: Sr2ZnHgB
Source: Alexandria via LeMat-Bulk
Functional: PBE-GGA
Structure: optimized geometry

Cell lengths 5.971, 5.971, 3.937 Å; angles 90.00, 90.00, 90.00 degrees
Positions (direct):
Sr1 0.000 0.500 0.000
Sr2 0.500 0.000 0.000
Zn1 0.000 0.000 0.000
Hg1 0.500 0.500 0.500
B1 0.000 0.000 0.500

D(E_F) ... 3.366 states/eV/f.u.
Calculated total energy ... -2.211 eV per atom
Volume ... 28.069 A^3/atom
SG ... P4/mmm
Spin magnetization ... 0.00 μB/cell

---

Compound: CsMg2GaIr
Source: Alexandria via LeMat-Bulk
Functional: PBE-GGA
Structure: optimized geometry

Cell lengths 6.324, 6.324, 5.172 Å; angles 90.00, 90.00, 90.00 degrees
Positions (direct):
Cs1 0.000 0.000 0.000
Mg1 0.000 0.500 0.000
Mg2 0.500 0.000 0.000
Ga1 0.500 0.500 0.500
Ir1 0.000 0.000 0.500

D(E_F) ... 3.976 states/eV/f.u.
Excess energy over the best structure of this formula in the dataset ... 1906 meV/atom
Volume ... 41.370 A^3/atom
SG ... P4/mmm
Spin magnetization ... 0.00 μB/cell

---

Compound: KPbCl2
Source: Alexandria via LeMat-Bulk
Functional: PBE-GGA
Structure: optimized geometry

Cell lengths 3.767, 5.796, 5.794 Å; angles 90.00, 90.40, 90.00 degrees
Positions (direct):
K1 0.000 0.000 0.000
Pb1 0.498 0.500 0.501
Cl1 0.497 0.000 0.505
Cl2 0.502 0.500 0.002

D(E_F) ... 1.180 states/eV/f.u.
Formation energy (no corrections) ... -1.232 eV/atom
Excess energy over the best structure of this formula in the dataset ... 17 meV/atom
Volume ... 31.619 A^3/atom
SG ... Pm
Spin magnetization ... 0.00 μB/cell

---

Compound: Co2AgH2
Source: Alexandria via LeMat-Bulk
Functional: PBE-GGA
Structure: optimized geometry

Cell lengths 5.961, 5.961, 2.638 Å; angles 90.00, 90.00, 90.00 degrees
Positions (direct):
Co1 0.129 0.371 0.000
Co2 0.371 0.871 0.000
Co3 0.629 0.129 0.000
Co4 0.871 0.629 0.000
Ag1 0.000 0.000 0.500
Ag2 0.500 0.500 0.500
H1 0.105 0.605 0.500
H2 0.395 0.105 0.500
H3 0.605 0.895 0.500
H4 0.895 0.395 0.500

D(E_F) ... 7.549 states/eV/f.u.
Excess energy over the best structure of this formula in the dataset ... 310 meV/atom
Volume ... 9.372 A^3/atom
SG ... P4/mbm
Spin magnetization ... 4.57 μB/cell

---

Compound: Er2Co2B
Source: Alexandria via LeMat-Bulk
Functional: PBE-GGA
Structure: optimized geometry

Cell lengths 5.491, 5.491, 6.479 Å; angles 98.43, 98.43, 55.48 degrees
Positions (direct):
Er1 0.032 0.264 0.151
Er2 0.264 0.032 0.651
Er3 0.736 0.968 0.349
Er4 0.968 0.736 0.849
Co1 0.280 0.490 0.488
Co2 0.490 0.280 0.988
Co3 0.510 0.720 0.012
Co4 0.720 0.510 0.512
B1 0.420 0.580 0.250
B2 0.580 0.420 0.750

D(E_F) ... 2.136 states/eV/f.u.
Calculated total energy ... -6.256 eV per atom
Volume ... 15.873 A^3/atom
SG ... C2/c
Spin magnetization ... 0.00 μB/cell

---

Compound: Pm2Sm6Cd
Source: Alexandria via LeMat-Bulk
Functional: PBE-GGA
Structure: optimized geometry

Cell lengths 11.163, 11.163, 9.191 Å; angles 108.67, 108.67, 32.81 degrees
Positions (direct):
Pm1 0.062 0.385 0.303
Pm2 0.385 0.062 0.803
Pm3 0.615 0.938 0.197
Pm4 0.938 0.615 0.697
Sm1 0.043 0.742 0.476
Sm2 0.174 0.505 0.089
Sm3 0.258 0.957 0.024
Sm4 0.273 0.622 0.866
Sm5 0.378 0.727 0.634
Sm6 0.495 0.826 0.411
Sm7 0.505 0.174 0.589
Sm8 0.622 0.273 0.366
Sm9 0.727 0.378 0.134
Sm10 0.742 0.043 0.976
Sm11 0.826 0.495 0.911
Sm12 0.957 0.258 0.524
Cd1 0.171 0.829 0.250
Cd2 0.829 0.171 0.750

D(E_F) ... 13.452 states/eV/f.u.
Excess energy over the best structure of this formula in the dataset ... 0 meV/atom
Volume ... 32.501 A^3/atom
SG ... C2/c
Spin magnetization ... 0.00 μB/cell

---

Compound: CeNpP2Rh5
Source: Alexandria via LeMat-Bulk
Functional: PBE-GGA
Structure: optimized geometry

Cell lengths 4.058, 4.058, 11.657 Å; angles 90.00, 90.00, 90.00 degrees
Positions (direct):
Ce1 0.000 0.000 0.000
Np1 0.500 0.500 0.500
P1 0.500 0.500 0.270
P2 0.500 0.500 0.730
Rh1 0.000 0.500 0.183
Rh2 0.000 0.500 0.817
Rh3 0.500 0.000 0.183
Rh4 0.500 0.000 0.817
Rh5 0.500 0.500 0.000

D(E_F) ... 14.898 states/eV/f.u.
Calculated total energy ... -7.735 eV per atom
Volume ... 21.324 A^3/atom
SG ... P4/mmm
Spin magnetization ... 4.97 μB/cell

---

Compound: Cd8PdRh2
Source: Alexandria via LeMat-Bulk
Functional: PBE-GGA
Structure: optimized geometry

Cell lengths 7.736, 7.736, 7.736 Å; angles 146.59, 122.29, 68.35 degrees
Positions (direct):
Cd1 0.133 0.347 0.785
Cd2 0.148 0.148 0.000
Cd3 0.311 0.000 0.311
Cd4 0.438 0.653 0.785
Cd5 0.562 0.347 0.215
Cd6 0.689 0.000 0.689
Cd7 0.852 0.852 0.000
Cd8 0.867 0.653 0.215
Pd1 0.000 0.500 0.500
Rh1 0.299 0.799 0.500
Rh2 0.701 0.201 0.500

D(E_F) ... 4.444 states/eV/f.u.
Calculated total energy ... -2.620 eV per atom
Volume ... 19.319 A^3/atom
SG ... Immm
Spin magnetization ... 0.00 μB/cell

---

Compound: Y2MnGa3Pt4
Source: Alexandria via LeMat-Bulk
Functional: PBE-GGA
Structure: optimized geometry

Cell lengths 4.071, 4.071, 11.229 Å; angles 90.00, 90.00, 90.00 degrees
Positions (direct):
Y1 0.000 0.500 0.249
Y2 0.500 0.000 0.751
Mn1 0.000 0.000 0.500
Ga1 0.000 0.500 0.866
Ga2 0.500 0.000 0.134
Ga3 0.500 0.500 0.500
Pt1 0.000 0.000 0.000
Pt2 0.000 0.500 0.646
Pt3 0.500 0.000 0.354
Pt4 0.500 0.500 0.000

D(E_F) ... 5.793 states/eV/f.u.
Calculated total energy ... -6.407 eV per atom
Volume ... 18.606 A^3/atom
SG ... P-4m2
Spin magnetization ... 3.72 μB/cell

---

Compound: DyTh6Sc12
Source: Alexandria via LeMat-Bulk
Functional: PBE-GGA
Structure: optimized geometry

Cell lengths 8.757, 8.757, 8.757 Å; angles 105.85, 105.85, 105.85 degrees
Positions (direct):
Dy1 0.000 0.000 0.000
Th1 0.288 0.681 0.681
Th2 0.319 0.319 0.712
Th3 0.319 0.712 0.319
Th4 0.681 0.288 0.681
Th5 0.681 0.681 0.288
Th6 0.712 0.319 0.319
Sc1 0.102 0.335 0.335
Sc2 0.109 0.500 0.891
Sc3 0.109 0.891 0.500
Sc4 0.335 0.102 0.335
Sc5 0.335 0.335 0.102
Sc6 0.500 0.109 0.891
Sc7 0.500 0.891 0.109
Sc8 0.665 0.665 0.898
Sc9 0.665 0.898 0.665
Sc10 0.891 0.109 0.500
Sc11 0.891 0.500 0.109
Sc12 0.898 0.665 0.665

D(E_F) ... 33.189 states/eV/f.u.
Calculated total energy ... -6.039 eV per atom
Volume ... 30.311 A^3/atom
SG ... R-3m
Spin magnetization ... 0.00 μB/cell

---

Compound: TbYAlIr
Source: Alexandria via LeMat-Bulk
Functional: PBE-GGA
Structure: optimized geometry

Cell lengths 7.055, 7.055, 7.055 Å; angles 90.00, 90.00, 90.00 degrees
Positions (direct):
Tb1 0.000 0.000 0.000
Tb2 0.000 0.500 0.500
Tb3 0.500 0.000 0.500
Tb4 0.500 0.500 0.000
Y1 0.000 0.000 0.500
Y2 0.000 0.500 0.000
Y3 0.500 0.000 0.000
Y4 0.500 0.500 0.500
Al1 0.250 0.250 0.750
Al2 0.250 0.750 0.250
Al3 0.750 0.250 0.250
Al4 0.750 0.750 0.750
Ir1 0.250 0.250 0.250
Ir2 0.250 0.750 0.750
Ir3 0.750 0.250 0.750
Ir4 0.750 0.750 0.250

D(E_F) ... 3.332 states/eV/f.u.
Calculated total energy ... -6.477 eV per atom
Volume ... 21.943 A^3/atom
SG ... F-43m
Spin magnetization ... 0.00 μB/cell

---

Compound: CaZnP2Cl
Source: Alexandria via LeMat-Bulk
Functional: PBE-GGA
Structure: optimized geometry

Cell lengths 5.523, 5.523, 5.160 Å; angles 90.00, 90.00, 90.00 degrees
Positions (direct):
Ca1 0.000 0.000 0.000
Zn1 0.500 0.500 0.500
P1 0.000 0.500 0.000
P2 0.500 0.000 0.000
Cl1 0.000 0.000 0.500

D(E_F) ... 2.935 states/eV/f.u.
Formation energy (no corrections) ... 0.440 eV/atom
Excess energy over the best structure of this formula in the dataset ... 695 meV/atom
Volume ... 31.475 A^3/atom
SG ... P4/mmm
Spin magnetization ... 2.00 μB/cell

---

Compound: Ba2NaCa6
Source: Alexandria via LeMat-Bulk
Functional: PBE-GGA
Structure: optimized geometry

Cell lengths 3.996, 3.996, 29.922 Å; angles 90.00, 90.00, 120.00 degrees
Positions (direct):
Ba1 0.000 0.000 0.176
Ba2 0.000 0.000 0.824
Na1 0.667 0.333 0.500
Ca1 0.000 0.000 0.397
Ca2 0.000 0.000 0.603
Ca3 0.667 0.333 0.061
Ca4 0.667 0.333 0.292
Ca5 0.667 0.333 0.708
Ca6 0.667 0.333 0.939

D(E_F) ... 10.210 states/eV/f.u.
Excess energy over the best structure of this formula in the dataset ... 0 meV/atom
Volume ... 45.976 A^3/atom
SG ... P-6m2
Spin magnetization ... 0.00 μB/cell

---

Compound: K3TeBr7
Source: Alexandria via LeMat-Bulk
Functional: PBE-GGA
Structure: optimized geometry

Cell lengths 7.487, 7.487, 8.056 Å; angles 100.95, 100.95, 92.52 degrees
Positions (direct):
K1 0.000 0.000 0.000
K2 0.267 0.718 0.534
K3 0.718 0.267 0.534
Te1 0.480 0.480 0.029
Br1 0.143 0.501 0.834
Br2 0.324 0.324 0.266
Br3 0.446 0.822 0.212
Br4 0.501 0.143 0.834
Br5 0.642 0.642 0.813
Br6 0.822 0.446 0.212
Br7 0.928 0.928 0.594

D(E_F) ... 0.000 states/eV/f.u.
Formation energy (no corrections) ... -1.096 eV/atom
Volume ... 39.438 A^3/atom
SG ... Cm
Spin magnetization ... 0.08 μB/cell

---

Compound: CaHRu
Source: Alexandria via LeMat-Bulk
Functional: PBE-GGA
Structure: optimized geometry

Cell lengths 11.084, 3.139, 5.386 Å; angles 90.00, 113.56, 90.00 degrees
Positions (direct):
Ca1 0.000 0.000 0.000
Ca2 0.204 0.000 0.602
Ca3 0.500 0.500 0.000
Ca4 0.704 0.500 0.602
H1 0.100 0.500 0.800
H2 0.331 0.000 0.081
H3 0.600 0.000 0.800
H4 0.831 0.500 0.081
Ru1 0.264 0.500 0.139
Ru2 0.447 0.000 0.483
Ru3 0.764 0.000 0.139
Ru4 0.947 0.500 0.483

D(E_F) ... 0.495 states/eV/f.u.
Excess energy over the best structure of this formula in the dataset ... 40 meV/atom
Volume ... 14.315 A^3/atom
SG ... Cm
Spin magnetization ... 0.00 μB/cell

---

Compound: La3PrNi
Source: Alexandria via LeMat-Bulk
Functional: PBE-GGA
Structure: optimized geometry

Cell lengths 5.581, 5.581, 5.581 Å; angles 90.00, 90.00, 90.00 degrees
Positions (direct):
La1 0.000 0.000 0.500
La2 0.000 0.500 0.000
La3 0.500 0.000 0.000
Pr1 0.500 0.500 0.500
Ni1 0.000 0.000 0.000

D(E_F) ... 11.449 states/eV/f.u.
Excess energy over the best structure of this formula in the dataset ... 113 meV/atom
Volume ... 34.767 A^3/atom
SG ... Pm-3m
Spin magnetization ... 0.00 μB/cell

---

Compound: Sn2CSeF
Source: Alexandria via LeMat-Bulk
Functional: PBE-GGA
Structure: optimized geometry

Cell lengths 4.872, 4.872, 3.997 Å; angles 90.00, 90.00, 90.00 degrees
Positions (direct):
Sn1 0.000 0.500 0.000
Sn2 0.500 0.000 0.000
C1 0.000 0.000 0.000
Se1 0.500 0.500 0.500
F1 0.000 0.000 0.500

D(E_F) ... 1.636 states/eV/f.u.
Formation energy (no corrections) ... 0.238 eV/atom
Excess energy over the best structure of this formula in the dataset ... 0 meV/atom
Volume ... 18.977 A^3/atom
SG ... P4/mmm
Spin magnetization ... 0.00 μB/cell

---

Compound: AlSi2Au
Source: Alexandria via LeMat-Bulk
Functional: PBE-GGA
Structure: optimized geometry

Cell lengths 2.696, 4.699, 5.246 Å; angles 90.00, 90.00, 90.00 degrees
Positions (direct):
Al1 0.000 0.000 0.000
Si1 0.000 0.500 0.500
Si2 0.500 0.000 0.500
Au1 0.500 0.500 0.000

D(E_F) ... 2.001 states/eV/f.u.
Formation energy (no corrections) ... 0.231 eV/atom
Volume ... 16.613 A^3/atom
SG ... Pmmm
Spin magnetization ... 0.00 μB/cell

---

Compound: ZnNi2Au8
Source: Alexandria via LeMat-Bulk
Functional: PBE-GGA
Structure: optimized geometry

Cell lengths 7.416, 7.416, 6.475 Å; angles 107.00, 107.00, 32.44 degrees
Positions (direct):
Zn1 0.000 0.000 0.000
Ni1 0.274 0.274 0.365
Ni2 0.726 0.726 0.635
Au1 0.101 0.101 0.460
Au2 0.180 0.180 0.923
Au3 0.355 0.355 0.797
Au4 0.453 0.453 0.269
Au5 0.547 0.547 0.731
Au6 0.645 0.645 0.203
Au7 0.820 0.820 0.077
Au8 0.899 0.899 0.540

D(E_F) ... 5.344 states/eV/f.u.
Calculated total energy ... -3.549 eV per atom
Volume ... 16.543 A^3/atom
SG ... C2/m
Spin magnetization ... 0.00 μB/cell